# 1
{"formula": "TmZrIrPd", "functional": "PBE", "state": "optimized geometry", "energy_ev_per_cell": -30.4, "formation_energy_mev_per_atom": -820, "lattice": [[0.000, 3.373, 3.373], [3.373, 0.000, 3.373], [3.373, 3.373, 0.000]], "species": ["Tm", "Zr", "Ir", "Pd"], "fractional_positions": [[0.000, 0.000, 0.000], [0.500, 0.500, 0.500], [0.250, 0.250, 0.250], [0.750, 0.750, 0.750]]}

# 2
{"formula": "U2IrPd", "functional": "PBE", "state": "optimized geometry", "energy_ev_per_cell": -36.5, "formation_energy_mev_per_atom": 30, "lattice": [[1.447, 0.836, 10.432], [-1.447, 0.836, 10.432], [0.000, -1.671, 10.432]], "species": ["U", "U", "Ir", "Pd"], "fractional_positions": [[0.087, 0.087, 0.087], [0.913, 0.913, 0.913], [0.500, 0.500, 0.500], [0.000, 0.000, 0.000]]}

# 3
{"formula": "U4Ir12Pd", "functional": "PBE", "state": "optimized geometry", "energy_ev_per_cell": -162.2, "formation_energy_mev_per_atom": -327, "lattice": [[-4.180, 4.180, 4.180], [4.180, -4.180, 4.180], [4.180, 4.180, -4.180]], "species": ["U", "U", "U", "U", "Ir", "Ir", "Ir", "Ir", "Ir", "Ir", "Ir", "Ir", "Ir", "Ir", "Ir", "Ir", "Pd"], "fractional_positions": [[0.000, 0.000, 0.500], [0.000, 0.500, 0.000], [0.500, 0.000, 0.000], [0.500, 0.500, 0.500], [0.000, 0.299, 0.299], [0.000, 0.701, 0.701], [0.250, 0.500, 0.750], [0.250, 0.750, 0.500], [0.299, 0.000, 0.299], [0.299, 0.299, 0.000], [0.500, 0.250, 0.750], [0.500, 0.750, 0.250], [0.701, 0.000, 0.701], [0.701, 0.701, 0.000], [0.750, 0.250, 0.500], [0.750, 0.500, 0.250], [0.000, 0.000, 0.000]]}

# 4
{"formula": "U2IrPd6", "functional": "PBE", "state": "optimized geometry", "energy_ev_per_cell": -66.2, "formation_energy_mev_per_atom": -404, "lattice": [[6.196, -2.049, 0.000], [6.196, 2.049, 0.000], [-2.038, 0.000, 6.139]], "species": ["U", "U", "Ir", "Pd", "Pd", "Pd", "Pd", "Pd", "Pd"], "fractional_positions": [[0.056, 0.056, 0.314], [0.944, 0.944, 0.686], [0.500, 0.500, 0.000], [0.170, 0.170, 0.003], [0.277, 0.277, 0.665], [0.389, 0.389, 0.331], [0.611, 0.611, 0.669], [0.723, 0.723, 0.335], [0.830, 0.830, 0.997]]}

# 5
{"formula": "UIrPd", "functional": "PBE", "state": "optimized geometry", "energy_ev_per_cell": -51.4, "formation_energy_mev_per_atom": -127, "lattice": [[2.272, 1.312, 6.810], [-2.272, 1.312, 6.810], [0.000, -2.623, 6.810]], "species": ["U", "U", "Ir", "Ir", "Pd", "Pd"], "fractional_positions": [[0.077, 0.077, 0.077], [0.923, 0.923, 0.923], [0.207, 0.207, 0.207], [0.793, 0.793, 0.793], [0.351, 0.351, 0.351], [0.649, 0.649, 0.649]]}

# 6
{"formula": "UIr4Pd", "functional": "PBE", "state": "optimized geometry", "energy_ev_per_cell": -53.6, "formation_energy_mev_per_atom": -285, "lattice": [[0.000, 3.701, 3.701], [3.701, 0.000, 3.701], [3.701, 3.701, 0.000]], "species": ["U", "Ir", "Ir", "Ir", "Ir", "Pd"], "fractional_positions": [[0.000, 0.000, 0.000], [0.126, 0.625, 0.625], [0.625, 0.126, 0.625], [0.625, 0.625, 0.126], [0.625, 0.625, 0.625], [0.250, 0.250, 0.250]]}

# 7
{"formula": "UIr2Pd", "functional": "PBE", "state": "optimized geometry", "energy_ev_per_cell": -36.4, "formation_energy_mev_per_atom": -557, "lattice": [[4.122, 0.000, 0.000], [0.000, 4.122, 0.000], [0.000, 0.000, 3.957]], "species": ["U", "Ir", "Ir", "Pd"], "fractional_positions": [[0.000, 0.000, 0.000], [0.000, 0.500, 0.500], [0.500, 0.000, 0.500], [0.500, 0.500, 0.000]]}

# 8
{"formula": "UZnIrPd", "functional": "PBE", "state": "optimized geometry", "energy_ev_per_cell": -28.0, "formation_energy_mev_per_atom": -346, "lattice": [[0.000, 3.296, 3.296], [3.296, 0.000, 3.296], [3.296, 3.296, 0.000]], "species": ["U", "Zn", "Ir", "Pd"], "fractional_positions": [[0.000, 0.000, 0.000], [0.500, 0.500, 0.500], [0.750, 0.750, 0.750], [0.250, 0.250, 0.250]]}

no.,size of the total moment (μB per formula unit)
1,0.0
2,3.3
3,1.5
4,3.3
5,1.4
6,0.0
7,0.0
8,1.7